(1)
An optimized crystal structure of InSb2TeCl. Source: the Alexandria database, functional GGA-PBEsol.

a b c (Å): 5.259 5.259 5.522
angles (deg): 90.00 90.00 90.00
Positions (direct):
1 Sb 0.000 0.500 0.000
2 Cl 0.000 0.000 0.000
3 Sb 0.500 0.000 0.000
4 Te 0.000 0.000 0.500
5 In 0.500 0.500 0.500



(2)
An optimized crystal structure of InSe2Cl. Source: the Alexandria database, functional GGA-PBEsol.

a b c (Å): 3.920 5.076 5.278
angles (deg): 108.11 90.00 90.00
Positions (direct):
1 Se 0.000 0.104 0.829
2 Se 0.000 0.896 0.171
3 Cl 0.500 0.500 0.500
4 In 0.500 0.500 0.000

Values from the calculation:
As for the energy above the most stable polymorph in this dataset: 0 kJ/mol of formula units.



(3)
An optimized crystal structure of InSe2Cl. Source: the Alexandria database, functional GGA-PBEsol.

a b c (Å): 3.874 3.873 6.193
angles (deg): 90.00 90.00 90.00
Positions (direct):
1 Cl 0.500 0.000 0.500
2 In 0.000 0.500 0.500
3 Se 0.000 0.000 0.000
4 Se 0.500 0.500 0.000

Values from the calculation:
As for the energy above the most stable polymorph in this dataset: 117 kJ/mol of formula units.



(4)
An optimized crystal structure of InSeCl2. Source: the Alexandria database, functional GGA-PBEsol.

a b c (Å): 3.310 5.129 5.129
angles (deg): 92.08 90.00 90.00
Positions (direct):
1 In 0.500 0.000 0.000
2 Cl 0.000 0.000 0.500
3 Se 0.500 0.500 0.500
4 Cl 0.000 0.500 0.000

Values from the calculation:
As for the energy above the most stable polymorph in this dataset: 190 kJ/mol of formula units.



Quick rundown of formation energy (no corrections), same order as above: 2.9 -2.0 -0.8 0.0 eV per formula unit
Quick rundown of magnetization, same order as above: 0.00 0.00 0.00 0.00 μB/f.u.